Computed, not measured: a relaxed LiZrAu3 crystal at the GGA-PBEsol level of DFT.

total magnetic moment: 0.000 μB/atom
raw total energy: -22.9 eV/cell
N(E_F): 4.387 states/eV/f.u.
energy of formation: -9.8 meV/atom

Lattice parameters (Å, degrees): 4.418 4.418 4.418 90.00 90.00 90.00
Space group Pm-3m (No. 221)
Symmetry-distinct sites (fractional):
Li (0.000, 0.000, 0.000) (multiplicity 1)
Zr (0.500, 0.500, 0.500) (multiplicity 1)
Au (0.000, 0.000, 0.500) (multiplicity 3)